Entry from Alexandria via LeMat-Bulk: YMoO2F after structural relaxation (GGA+U).

total energy	-34.4	eV for the cell shown
volume	83.3	Å³/cell
DOS at the Fermi energy	1.27	states/eV/cell
SG	P4/mmm
M_tot	0.800	μB per atom

a = 4.425 Å, b = 4.425 Å, c = 4.257 Å
α = 90.00°, β = 90.00°, γ = 90.00°
Site moments in Bohr magnetons follow the coordinates.
Fractional positions:
O 0.000 0.500 0.000  -0.18
O 0.500 0.000 0.000  -0.18
Mo 0.500 0.500 0.500  3.86
F 0.000 0.000 0.500  0.03
Y 0.000 0.000 0.000  0.01